No. 1
Here is crystalline Be2Te at its relaxed geometry from Alexandria. Energies are from GGA-PBE.

Unit cell a=4.734 b=4.734 c=4.734 alpha=46.51 beta=46.51 gamma=46.51
Atoms (fractional coordinates):
Te: 0.000 0.000 0.000
Be: 0.794 0.794 0.794
Be: 0.206 0.206 0.206

offset from the most stable computed form = 159.5 kJ/mol of formula units
uncorrected energy = -2.959 eV per atom
raw formation energy = 572.5 meV per atom


No. 2
Here is crystalline TaTc2P at its relaxed geometry from Alexandria. Energies are from GGA-PBE.

Unit cell a=2.890 b=2.890 c=7.039 alpha=90.00 beta=90.00 gamma=90.00
Atoms (fractional coordinates):
Tc: 0.000 0.000 0.022
Tc: 0.500 0.500 0.280
Ta: 0.500 0.500 0.725
P: 0.000 0.000 0.473

uncorrected energy = -9.720 eV per atom


No. 3
Here is crystalline La4SmHg at its relaxed geometry from Alexandria. Energies are from GGA-PBE.

Unit cell a=3.782 b=3.782 c=14.200 alpha=90.00 beta=90.00 gamma=90.00
Atoms (fractional coordinates):
Hg: 0.500 0.500 0.500
La: 0.500 0.500 0.177
La: 0.500 0.500 0.823
La: 0.000 0.000 0.645
La: 0.000 0.000 0.355
Sm: 0.000 0.000 0.000

offset from the most stable computed form = 0.0 kJ/mol of formula units
uncorrected energy = -4.282 eV per atom


No. 4
Here is crystalline V2TcGe4 at its relaxed geometry from Alexandria. Energies are from GGA-PBE.

Unit cell a=3.148 b=5.209 c=7.506 alpha=108.70 beta=102.11 gamma=90.00
Atoms (fractional coordinates):
V: 0.759 0.766 0.518
V: 0.241 0.234 0.482
Ge: 0.119 0.757 0.238
Ge: 0.387 0.675 0.774
Ge: 0.881 0.243 0.762
Ge: 0.613 0.325 0.226
Tc: 0.000 0.000 0.000

offset from the most stable computed form = 0.0 kJ/mol of formula units
uncorrected energy = -6.724 eV per atom